Density functional theory data (PBE) for a geometry-optimized MgInMo2 structure.

Properties
energy relative to the lowest polymorph listed for this composition = 0.135 eV/atom

Geometry as POSCAR:
```
MgInMo2
1.0
4.624 0.000 0.000
0.000 4.624 0.000
0.000 0.000 6.510
Mg In Mo
2 2 4
Direct
0.000 0.000 0.000
0.500 0.500 0.500
0.000 0.500 0.750
0.500 0.000 0.250
0.000 0.000 0.500
0.000 0.500 0.250
0.500 0.000 0.750
0.500 0.500 0.000
```

Density functional theory data (PBE) for a geometry-optimized MgInMo structure.

Properties
energy relative to the lowest polymorph listed for this composition = 0.002 eV/atom

Geometry as POSCAR:
```
MgInMo
1.0
3.592 0.000 0.000
0.000 4.536 0.000
0.000 0.000 14.155
Mg In Mo
4 4 4
Direct
0.000 0.000 0.000
0.000 0.500 0.500
0.500 0.000 0.500
0.500 0.500 0.000
0.000 0.000 0.683
0.000 0.500 0.183
0.500 0.000 0.183
0.500 0.500 0.683
0.000 0.000 0.345
0.000 0.500 0.845
0.500 0.000 0.845
0.500 0.500 0.345
```

Density functional theory data (PBE) for a geometry-optimized MgIn2Mo structure.

Geometry as POSCAR:
```
MgIn2Mo
1.0
4.514 0.000 0.000
0.000 4.514 0.000
0.000 0.000 3.832
Mg In Mo
1 2 1
Direct
0.000 0.000 0.000
0.000 0.500 0.500
0.500 0.000 0.500
0.500 0.500 0.000
```

Density functional theory data (PBE) for a geometry-optimized MgIn2Mo structure.

Geometry as POSCAR:
```
MgIn2Mo
1.0
2.956 0.000 0.000
0.000 5.086 0.000
0.000 0.000 5.238
Mg In Mo
1 2 1
Direct
0.000 0.000 0.000
0.500 0.000 0.514
0.500 0.500 0.176
0.000 0.500 0.689
```

Density functional theory data (PBE) for a geometry-optimized Mg2InMo structure.

Geometry as POSCAR:
```
Mg2InMo
1.0
7.672 0.000 0.000
0.000 7.672 0.000
0.000 0.000 5.683
Mg In Mo
8 4 4
Direct
0.244 0.250 0.125
0.250 0.744 0.375
0.250 0.756 0.875
0.256 0.250 0.625
0.744 0.750 0.625
0.750 0.244 0.875
0.750 0.256 0.375
0.756 0.750 0.125
0.000 0.000 0.500
0.000 0.500 0.750
0.500 0.000 0.250
0.500 0.500 0.000
0.000 0.000 0.000
0.000 0.500 0.250
0.500 0.000 0.750
0.500 0.500 0.500
```

Density functional theory data (PBE) for a geometry-optimized MgInMo2 structure.

Properties
energy relative to the lowest polymorph listed for this composition = 0.186 eV/atom

Geometry as POSCAR:
```
MgInMo2
1.0
2.808 0.000 0.000
0.000 4.672 0.000
-1.271 0.000 5.407
Mg In Mo
1 1 2
Direct
0.000 0.000 0.000
0.500 0.000 0.500
0.280 0.500 0.772
0.720 0.500 0.228
```

Density functional theory data (PBE) for a geometry-optimized MgInMo2 structure.

Properties
energy relative to the lowest polymorph listed for this composition = 0.099 eV/atom

Geometry as POSCAR:
```
MgInMo2
1.0
2.872 0.000 0.000
0.000 4.476 0.000
-1.117 0.000 5.570
Mg In Mo
1 1 2
Direct
0.000 0.000 0.000
0.248 0.500 0.734
0.564 0.000 0.461
0.714 0.500 0.248
```

Density functional theory data (PBE) for a geometry-optimized MgInMo2 structure.

Properties
energy relative to the lowest polymorph listed for this composition = 0.206 eV/atom

Geometry as POSCAR:
```
MgInMo2
1.0
3.934 0.000 0.000
0.000 3.934 0.000
0.000 0.000 9.084
Mg In Mo
2 2 4
Direct
0.000 0.000 0.000
0.500 0.500 0.500
0.000 0.000 0.500
0.500 0.500 0.000
0.000 0.500 0.250
0.000 0.500 0.750
0.500 0.000 0.250
0.500 0.000 0.750
```

| no. | formation enthalpy at 0 K (meV/atom) | uncorrected energy (eV/atom) |
| --- | --- | --- |
| 1 | 266 | -6.233 |
| 2 | 305 | -4.750 |
| 3 | 274 | -4.201 |
| 4 | 230 | -4.245 |
| 5 | 621 | -3.569 |
| 6 | 317 | -6.182 |
| 7 | 230 | -6.269 |
| 8 | 337 | -6.162 |